Compound: Tm7Ir2Pb2
Source: the Alexandria database
Functional: GGA-PBE
Structure: optimized geometry

a b c (Å): 6.7655 6.7655 7.1341
angles (deg): 90.00 90.00 104.04
Element x y z (fractional)
Tm  0.0000  0.0000  0.0000
Tm  0.0000  0.5000  0.2404
Tm  0.0000  0.5000  0.7596
Tm  0.5000  0.0000  0.2404
Tm  0.5000  0.0000  0.7596
Tm  0.5000  0.5000  0.2289
Tm  0.5000  0.5000  0.7711
Ir  0.2828  0.7172  0.0000
Ir  0.7172  0.2828  0.0000
Pb  0.1907  0.1907  0.5000
Pb  0.8093  0.8093  0.5000

Summary:
ΔH_f (0 K) (eV/atom): -0.496
Total magnetic moment (μB/f.u.): 0.00
Symmetry: Cmmm (65)